Record 1
AsP2Cl GGA-PBE relaxed; density = 3.21 g/cm3; polymorph energy (0 for the lowest one) = 552.0 meV per atom; N(E_F) = 0.53 states/eV/atom; crystal system = orthorhombic; energy relative to the elements, uncorrected = 555 meV/atom; total magnetic moment = 0.00 μB per formula unit; space group = No. 65
1.0
-2.097 3.151 1.041
-1.342 -3.332 -1.582
-0.899 -2.797 6.656
P Cl As
2 1 1
direct
0.000 0.000 0.473
0.000 0.000 0.027
0.500 0.500 0.750
0.500 0.500 0.250

Record 2
VGeIr2Au GGA-PBE relaxed; density = 12.24 g/cm3; N(E_F) = 0.73 states/eV/atom; crystal system = tetragonal; total magnetic moment = 0.00 μB per formula unit; space group = No. 123; energy relative to the elements = 0.985 eV per atom
1.0
-2.837 3.073 1.756
0.630 -1.834 4.227
3.485 2.817 0.703
Ir V Au Ge
2 1 1 1
direct
0.500 0.000 0.000
0.000 0.000 0.500
0.000 0.000 0.000
0.500 0.500 0.500
0.000 0.500 0.000